No. 1
# Pr3Nd5Sm2 PBE optimized geometry
data_Pr3Nd5Sm2
_chemical_formula_sum 'Pr6 Nd10 Sm4'
_symmetry_space_group_name_H-M 'P 1'
_symmetry_Int_Tables_number 1
_symmetry_space_group_name_Hall 'P 1'
_cell_length_a 11.2004
_cell_length_b 11.2004
_cell_length_c 11.2004
_cell_angle_alpha 113.09
_cell_angle_beta 77.53
_cell_angle_gamma 145.47
loop_
_atom_site_label
_atom_site_type_symbol
_atom_site_fract_x
_atom_site_fract_y
_atom_site_fract_z
Pr1 Pr 0.1683 0.5844 0.7527
Pr2 Pr 0.2500 0.2500 0.0000
Pr3 Pr 0.3317 0.0844 0.4160
Pr4 Pr 0.6683 0.9156 0.5840
Pr5 Pr 0.7500 0.7500 0.0000
Pr6 Pr 0.8317 0.4156 0.2473
Nd1 Nd 0.1691 0.2431 0.4122
Nd2 Nd 0.2500 0.5010 0.2510
Nd3 Nd 0.2500 0.7500 0.5000
Nd4 Nd 0.2500 0.9990 0.7490
Nd5 Nd 0.3309 0.7431 0.0740
Nd6 Nd 0.6691 0.2569 0.9260
Nd7 Nd 0.7500 0.0010 0.2510
Nd8 Nd 0.7500 0.2500 0.5000
Nd9 Nd 0.7500 0.4990 0.7490
Nd10 Nd 0.8309 0.7569 0.5878
Sm1 Sm 0.1682 0.9093 0.0774
Sm2 Sm 0.3318 0.4093 0.7411
Sm3 Sm 0.6682 0.5907 0.2589
Sm4 Sm 0.8318 0.0907 0.9226
# SG: Ibam, No. 72

***

No. 2
# Pr2Nd4Sm5 PBE optimized geometry
data_Pr2Nd4Sm5
_chemical_formula_sum 'Pr2 Nd4 Sm5'
_symmetry_space_group_name_H-M 'P 1'
_symmetry_Int_Tables_number 1
_symmetry_space_group_name_Hall 'P 1'
_cell_length_a 12.8165
_cell_length_b 12.8165
_cell_length_c 12.8165
_cell_angle_alpha 163.98
_cell_angle_beta 137.02
_cell_angle_gamma 46.15
loop_
_atom_site_label
_atom_site_type_symbol
_atom_site_fract_x
_atom_site_fract_y
_atom_site_fract_z
Pr1 Pr 0.2309 0.2309 0.0000
Pr2 Pr 0.7691 0.7691 0.0000
Nd1 Nd 0.0960 0.0960 0.0000
Nd2 Nd 0.2008 0.5000 0.7008
Nd3 Nd 0.7992 0.5000 0.2992
Nd4 Nd 0.9040 0.9040 0.0000
Sm1 Sm 0.1596 0.3553 0.8043
Sm2 Sm 0.4490 0.6447 0.8043
Sm3 Sm 0.5000 0.0000 0.5000
Sm4 Sm 0.5510 0.3553 0.1957
Sm5 Sm 0.8404 0.6447 0.1957
# SG: Immm, No. 71

***

No. 3
# Pr2Nd2Sm3 PBE optimized geometry
data_Pr2Nd2Sm3
_chemical_formula_sum 'Pr2 Nd2 Sm3'
_symmetry_space_group_name_H-M 'P 1'
_symmetry_Int_Tables_number 1
_symmetry_space_group_name_Hall 'P 1'
_cell_length_a 9.1374
_cell_length_b 9.1374
_cell_length_c 8.8258
_cell_angle_alpha 118.41
_cell_angle_beta 118.41
_cell_angle_gamma 22.49
loop_
_atom_site_label
_atom_site_type_symbol
_atom_site_fract_x
_atom_site_fract_y
_atom_site_fract_z
Pr1 Pr 0.0659 0.0659 0.4092
Pr2 Pr 0.9341 0.9341 0.5908
Nd1 Nd 0.3512 0.3512 0.1638
Nd2 Nd 0.6488 0.6488 0.8362
Sm1 Sm 0.2871 0.2871 0.6981
Sm2 Sm 0.5000 0.5000 0.0000
Sm3 Sm 0.7129 0.7129 0.3019
# SG: C2/m, No. 12

***

No. 4
# PrNd4Sm3 PBE optimized geometry
data_PrNd4Sm3
_chemical_formula_sum 'Pr2 Nd8 Sm6'
_symmetry_space_group_name_H-M 'P 1'
_symmetry_Int_Tables_number 1
_symmetry_space_group_name_Hall 'P 1'
_cell_length_a 11.8696
_cell_length_b 7.4020
_cell_length_c 6.3994
_cell_angle_alpha 90.00
_cell_angle_beta 90.00
_cell_angle_gamma 90.00
loop_
_atom_site_label
_atom_site_type_symbol
_atom_site_fract_x
_atom_site_fract_y
_atom_site_fract_z
Pr1 Pr 0.0000 0.1241 0.0000
Pr2 Pr 0.5000 0.8759 0.5000
Nd1 Nd 0.0000 0.3742 0.4993
Nd2 Nd 0.0000 0.6258 0.0009
Nd3 Nd 0.2488 0.6256 0.6667
Nd4 Nd 0.2512 0.3744 0.1667
Nd5 Nd 0.5000 0.3742 0.5009
Nd6 Nd 0.5000 0.6258 0.9993
Nd7 Nd 0.7488 0.3744 0.1667
Nd8 Nd 0.7512 0.6256 0.6667
Sm1 Sm 0.0000 0.8757 0.5003
Sm2 Sm 0.2499 0.1244 0.6677
Sm3 Sm 0.2501 0.8756 0.1677
Sm4 Sm 0.5000 0.1243 0.0003
Sm5 Sm 0.7501 0.1244 0.6677
Sm6 Sm 0.7499 0.8756 0.1677
# SG: Pmn2_1, No. 31

***

No. 5
# Pr3Nd3Sm5 PBE optimized geometry
data_Pr3Nd3Sm5
_chemical_formula_sum 'Pr3 Nd3 Sm5'
_symmetry_space_group_name_H-M 'P 1'
_symmetry_Int_Tables_number 1
_symmetry_space_group_name_Hall 'P 1'
_cell_length_a 9.7631
_cell_length_b 9.7631
_cell_length_c 5.6366
_cell_angle_alpha 90.00
_cell_angle_beta 90.00
_cell_angle_gamma 120.00
loop_
_atom_site_label
_atom_site_type_symbol
_atom_site_fract_x
_atom_site_fract_y
_atom_site_fract_z
Pr1 Pr 0.0000 0.6354 0.0000
Pr2 Pr 0.3646 0.3646 0.0000
Pr3 Pr 0.6354 0.0000 0.0000
Nd1 Nd 0.0000 0.4738 0.5000
Nd2 Nd 0.4738 0.0000 0.5000
Nd3 Nd 0.5262 0.5262 0.5000
Sm1 Sm 0.0000 0.2676 0.0000
Sm2 Sm 0.2676 0.0000 0.0000
Sm3 Sm 0.3333 0.6667 0.0000
Sm4 Sm 0.6667 0.3333 0.0000
Sm5 Sm 0.7324 0.7324 0.0000
# SG: P-62m, No. 189

***

No. 6
# Pr2Nd5Sm4 PBE optimized geometry
data_Pr2Nd5Sm4
_chemical_formula_sum 'Pr2 Nd5 Sm4'
_symmetry_space_group_name_H-M 'P 1'
_symmetry_Int_Tables_number 1
_symmetry_space_group_name_Hall 'P 1'
_cell_length_a 12.3841
_cell_length_b 12.3841
_cell_length_c 9.0012
_cell_angle_alpha 96.60
_cell_angle_beta 96.60
_cell_angle_gamma 16.35
loop_
_atom_site_label
_atom_site_type_symbol
_atom_site_fract_x
_atom_site_fract_y
_atom_site_fract_z
Pr1 Pr 0.0909 0.0909 0.2325
Pr2 Pr 0.9091 0.9091 0.7675
Nd1 Nd 0.1405 0.1405 0.6180
Nd2 Nd 0.2320 0.2320 0.3238
Nd3 Nd 0.5000 0.5000 0.5000
Nd4 Nd 0.7680 0.7680 0.6762
Nd5 Nd 0.8595 0.8595 0.3820
Sm1 Sm 0.0462 0.0462 0.8623
Sm2 Sm 0.3222 0.3222 0.0287
Sm3 Sm 0.6778 0.6778 0.9713
Sm4 Sm 0.9538 0.9538 0.1377
# SG: C2/m, No. 12

***

No. 7
# Pr3Nd2Sm7 PBE optimized geometry
data_Pr3Nd2Sm7
_chemical_formula_sum 'Pr3 Nd2 Sm7'
_symmetry_space_group_name_H-M 'P 1'
_symmetry_Int_Tables_number 1
_symmetry_space_group_name_Hall 'P 1'
_cell_length_a 5.9838
_cell_length_b 3.6483
_cell_length_c 19.2708
_cell_angle_alpha 90.00
_cell_angle_beta 93.07
_cell_angle_gamma 90.00
loop_
_atom_site_label
_atom_site_type_symbol
_atom_site_fract_x
_atom_site_fract_y
_atom_site_fract_z
Pr1 Pr 0.0000 0.0000 0.0000
Pr2 Pr 0.2803 0.5000 0.6328
Pr3 Pr 0.7197 0.5000 0.3672
Nd1 Nd 0.2096 0.0000 0.2940
Nd2 Nd 0.7904 0.0000 0.7060
Sm1 Sm 0.1876 0.5000 0.1436
Sm2 Sm 0.2429 0.0000 0.4632
Sm3 Sm 0.3107 0.0000 0.8252
Sm4 Sm 0.5000 0.5000 0.0000
Sm5 Sm 0.6893 0.0000 0.1748
Sm6 Sm 0.7571 0.0000 0.5368
Sm7 Sm 0.8124 0.5000 0.8564
# SG: P2/m, No. 10

***

No. 8
# PrNd6Sm3 PBE optimized geometry
data_PrNd6Sm3
_chemical_formula_sum 'Pr2 Nd12 Sm6'
_symmetry_space_group_name_H-M 'P 1'
_symmetry_Int_Tables_number 1
_symmetry_space_group_name_Hall 'P 1'
_cell_length_a 11.1992
_cell_length_b 11.1992
_cell_length_c 6.4760
_cell_angle_alpha 90.00
_cell_angle_beta 90.00
_cell_angle_gamma 120.58
loop_
_atom_site_label
_atom_site_type_symbol
_atom_site_fract_x
_atom_site_fract_y
_atom_site_fract_z
Pr1 Pr 0.1899 0.8101 0.5000
Pr2 Pr 0.8101 0.1899 0.0000
Nd1 Nd 0.0343 0.9657 0.7451
Nd2 Nd 0.0564 0.4726 0.2292
Nd3 Nd 0.2815 0.7185 0.9568
Nd4 Nd 0.2907 0.3709 0.0502
Nd5 Nd 0.3709 0.2907 0.5502
Nd6 Nd 0.4726 0.0564 0.7292
Nd7 Nd 0.5274 0.9436 0.2292
Nd8 Nd 0.6291 0.7093 0.0502
Nd9 Nd 0.7093 0.6291 0.5502
Nd10 Nd 0.7185 0.2815 0.4568
Nd11 Nd 0.9436 0.5274 0.7292
Nd12 Nd 0.9657 0.0343 0.2451
Sm1 Sm 0.0583 0.2930 0.6426
Sm2 Sm 0.2930 0.0583 0.1426
Sm3 Sm 0.3830 0.6170 0.5135
Sm4 Sm 0.6170 0.3830 0.0135
Sm5 Sm 0.7070 0.9417 0.6426
Sm6 Sm 0.9417 0.7070 0.1426
# SG: Cmc2_1, No. 36

***

no.,density of states at the Fermi level (states/eV/atom),magnetization (μB per cell),energy of formation from the pure elements (meV per atom)
1,1.542,0.00,257
2,1.447,0.00,214
3,1.487,0.00,106
4,1.761,0.00,33
5,1.600,0.00,720
6,1.685,0.00,130
7,1.334,0.00,81
8,1.386,0.00,134